[1]
Zn2Cu10Sb4S13, relaxed, DFT PBEsol; E = -4.476 eV/atom; volume = 18.6 Å³ per atom
1.0
8.875 -0.008 0.000
-2.878 8.395 0.000
-2.998 -4.194 7.224
Sb Cu S Zn
4 10 13 2
Direct
0.993 0.541 0.000
0.541 0.993 0.000
0.007 0.007 0.548
0.459 0.459 0.452
0.000 0.778 0.778
0.250 0.750 0.500
0.222 0.000 0.222
0.244 0.500 0.744
0.000 0.222 0.222
0.750 0.250 0.500
0.500 0.244 0.744
0.500 0.756 0.256
0.778 0.000 0.778
0.756 0.500 0.256
0.229 0.751 0.748
0.771 0.519 0.523
0.003 0.481 0.252
0.253 0.492 0.000
0.519 0.771 0.523
0.481 0.003 0.252
0.997 0.249 0.477
0.747 0.747 0.239
0.249 0.997 0.477
0.000 0.000 0.000
0.492 0.253 0.000
0.751 0.229 0.748
0.508 0.508 0.761
0.772 0.772 0.000
0.228 0.228 0.000

[2]
ScCu3S3, relaxed, DFT PBEsol; E = -5.522 eV/atom; volume = 15.6 Å³ per atom
1.0
6.464 0.000 0.000
3.232 5.598 0.000
3.232 1.866 6.049
S Sc Cu
6 2 6
Direct
0.588 0.922 0.238
0.412 0.078 0.762
0.253 0.588 0.238
0.078 0.747 0.762
0.922 0.253 0.238
0.747 0.412 0.762
0.667 0.667 0.000
0.333 0.333 0.000
0.463 0.784 0.630
0.537 0.216 0.370
0.877 0.537 0.370
0.216 0.877 0.370
0.784 0.123 0.630
0.123 0.463 0.630